Record 1
Entry from the Alexandria database: crystalline KNiC2O6 at its relaxed geometry (PBE with a Hubbard U).

```
10
Lattice="2.4416 1.4097 6.2052 -2.4416 1.4097 6.2052 0.0000 -2.8193 6.2052" Properties=species:S:1:pos:R:3 pbc="T T T"
K 0.0000 0.0000 0.0000
Ni 0.0000 0.0000 9.3077
C 0.0000 0.0000 4.2646
C 0.0000 0.0000 14.3509
O -1.1644 -1.2304 8.1125
O -1.6478 0.3932 10.5030
O 0.4833 -1.6236 10.5030
O -0.4833 1.6236 8.1125
O 1.6477 -0.3932 8.1125
O 1.1644 1.2304 10.5030
```

## Properties
**Crystal system**: trigonal

---

Record 2
Entry from the Alexandria database: crystalline KNi3C4O12 at its relaxed geometry (PBE with a Hubbard U).

```
20
Lattice="4.7902 2.7656 2.7138 -4.7902 2.7656 2.7138 0.0000 -5.5312 2.7138" Properties=species:S:1:pos:R:3 pbc="T T T"
K 0.0000 0.0000 0.0000
Ni -2.6146 -1.0027 2.7138
Ni -2.6145 1.0027 5.4276
Ni 0.4389 2.7656 2.7138
C -2.1741 -3.7657 4.0707
C 0.0000 0.0000 4.0707
C -2.1741 3.7657 4.0707
C 4.3482 0.0000 4.0707
O -2.8186 -2.7072 3.7588
O -3.9131 0.0000 4.0707
O -0.9352 -3.7945 4.3826
O -1.2968 0.0000 4.0707
O -2.8186 2.7072 4.3826
O 1.9565 -3.3888 4.0707
O 0.6484 -1.1230 4.0707
O -0.9352 3.7945 3.7588
O 0.6484 1.1230 4.0707
O 3.7538 -1.0874 3.7588
O 1.9565 3.3888 4.0707
O 3.7538 1.0874 4.3826
```

## Properties
**Crystal system**: trigonal

---

Record 3
Entry from the Alexandria database: crystalline KNi2C2O6 at its relaxed geometry (PBE with a Hubbard U).

```
11
Lattice="5.2631 0.0000 0.0000 2.1688 4.8678 0.0000 2.4131 -0.8159 5.2254" Properties=species:S:1:pos:R:3 pbc="T T T"
K 0.0000 0.0000 0.0000
Ni 4.4078 1.1069 3.8293
Ni 5.4373 2.9450 1.3961
C 2.7663 1.0942 1.3690
C 7.0787 2.9577 3.8564
O 2.0497 1.9848 0.7211
O 2.3383 -0.1059 1.4777
O 3.9231 1.4580 1.8668
O 5.9219 2.5939 3.3586
O 7.5068 4.1578 3.7477
O 7.7954 2.0671 4.5043
```

## Properties
**Crystal system**: triclinic

---

Record 4
Entry from the Alexandria database: crystalline KNiCO4 at its relaxed geometry (PBE with a Hubbard U).

```
14
Lattice="3.3216 -4.7100 0.0000 3.3216 4.7100 0.0000 0.0000 0.0000 5.9342" Properties=species:S:1:pos:R:3 pbc="T T T"
K 0.0000 0.0000 0.0000
K 0.0000 0.0000 2.9671
Ni 3.3216 1.2617 4.4506
Ni 3.3216 -1.2617 1.4835
C 3.3216 1.2206 1.4835
C 3.3216 -1.2206 4.4506
O 3.3216 2.0089 0.3416
O 3.3216 2.0089 2.6255
O 2.1929 0.3745 1.4835
O 2.1929 -0.3745 4.4506
O 4.4503 0.3745 1.4835
O 4.4503 -0.3745 4.4506
O 3.3216 -2.0089 3.3087
O 3.3216 -2.0089 5.5926
```

## Properties
**Crystal system**: orthorhombic

---

Record 5
Entry from the Alexandria database: crystalline K2NiPCO7 at its relaxed geometry (PBE with a Hubbard U).

```
24
Lattice="5.4826 0.0000 0.0000 0.0000 6.9528 0.0000 -0.1916 0.0000 9.6765" Properties=species:S:1:pos:R:3 pbc="T T T"
K 1.3071 0.1705 2.4200
K 1.3071 3.3059 2.4200
K 3.9840 3.6468 7.2565
K 3.9840 6.7823 7.2565
Ni 1.4107 1.7382 6.1820
Ni 3.8803 5.2146 3.4945
P 1.1016 5.2146 5.5028
P 4.1894 1.7382 4.1738
C 1.1450 1.7382 8.6714
C 4.1460 5.2146 1.0051
O 0.1416 1.7382 7.8353
O 0.2238 1.7382 4.5779
O 1.1829 1.7382 0.2429
O 1.3716 3.9493 6.3649
O 1.3716 6.4798 6.3649
O 1.9916 5.2146 4.2322
O 2.3060 1.7382 8.0882
O 2.9851 5.2146 1.5883
O 3.2994 1.7382 5.4443
O 3.9195 0.4729 3.3116
O 3.9195 3.0035 3.3116
O 4.1081 5.2146 9.4337
O 5.0673 5.2146 5.0986
O 5.1494 5.2146 1.8412
```

## Properties
**Crystal system**: monoclinic

---

Number 1: total magnetic moment 0.100 μB per atom, DOS(E_F) 3.0 states/eV/f.u., DFT total energy -6.547 eV/atom. Number 2: total magnetic moment 0.249 μB per atom, DOS(E_F) 6.3 states/eV/f.u., DFT total energy -6.571 eV/atom. Number 3: total magnetic moment 0.273 μB per atom, DOS(E_F) 5.7 states/eV/f.u., DFT total energy -6.131 eV/atom. Number 4: total magnetic moment 0.436 μB per atom, DOS(E_F) 3.6 states/eV/f.u., DFT total energy -5.696 eV/atom. Number 5: total magnetic moment 0.079 μB per atom, DOS(E_F) 6.4 states/eV/f.u., DFT total energy -6.233 eV/atom.